No. 1
First-principles (PBE) data for a geometry-optimized LiLaAl2 structure, as listed in Alexandria via LeMat-Bulk.

The space group is Pm (No. 6) and the conventional cell measures 3.3877, 4.4759 and 6.4124 Å, with angles of 90.00, 105.02 and 90.00 degrees. The distinct sites, in fractional coordinates, are Li at (0.0000, 0.0000, 0.0000), La at (0.2986, 0.5000, 0.6050), Al at (0.5676, 0.5000, 0.1342) and Al at (0.6822, 0.0000, 0.3681).

As for the crystal system: monoclinic. As for the energy relative to the lowest polymorph listed for this composition: 76 meV per atom.

---

No. 2
First-principles (PBE) data for a geometry-optimized Er6Bi3C2 structure, as listed in Alexandria via LeMat-Bulk.

The space group is I4/mmm (No. 139) and the conventional cell measures 4.7429, 4.7429 and 25.4173 Å, with angles of 90.00, 90.00 and 90.00 degrees. The distinct sites, in fractional coordinates, are Er at (0.0000, 0.0000, 0.1898), Er at (0.0000, 0.5000, 0.0853), Bi at (0.0000, 0.0000, 0.3183), Bi at (0.0000, 0.0000, 0.5000) and C at (0.0000, 0.0000, 0.1014).

As for the crystal system: tetragonal. The calculation puts the total energy at -127.986 eV per cell.

---

No. 3
First-principles (PBE) data for a geometry-optimized K4BiH structure, as listed in Alexandria via LeMat-Bulk.

The space group is C2/m (No. 12) and the conventional cell measures 8.2300, 8.2296 and 7.7340 Å, with angles of 90.00, 90.13 and 90.00 degrees. The distinct sites, in fractional coordinates, are K at (0.2495, 0.2499, 0.2454), Bi at (0.0000, 0.0000, 0.5000) and H at (0.0000, 0.5000, 0.0000).

As for the crystal system: monoclinic. As for the energy relative to the lowest polymorph listed for this composition: 101 meV per atom.

---

No. 4
First-principles (PBE) data for a geometry-optimized Tb2Tm5In4 structure, as listed in Alexandria via LeMat-Bulk.

The space group is Immm (No. 71) and the conventional cell measures 3.4209, 8.4109 and 28.6177 Å, with angles of 90.00, 90.00 and 90.00 degrees. The distinct sites, in fractional coordinates, are Tb at (0.0000, 0.0000, 0.0960), Tm at (0.0000, 0.1949, 0.2026), Tm at (0.0000, 0.5000, 0.5000), In at (0.0000, 0.0000, 0.3031) and In at (0.0000, 0.3191, 0.0000).

As for the crystal system: orthorhombic. The calculation puts the total energy at -78.409 eV per cell.

---

No. 5
First-principles (PBE) data for a geometry-optimized TiRh3Cl structure, as listed in Alexandria via LeMat-Bulk.

The space group is Pm-3m (No. 221) and the conventional cell measures 4.6232, 4.6232 and 4.6232 Å, with angles of 90.00, 90.00 and 90.00 degrees. The distinct sites, in fractional coordinates, are Ti at (0.0000, 0.0000, 0.0000), Rh at (0.0000, 0.0000, 0.5000) and Cl at (0.5000, 0.5000, 0.5000).

As for the crystal system: cubic. As for the energy relative to the lowest polymorph listed for this composition: 297 meV per atom. The formation energy from raw total energies is 880.7 meV/atom.

---

No. 6
First-principles (PBE) data for a geometry-optimized TmNiGeRh structure, as listed in Alexandria via LeMat-Bulk.

The space group is Amm2 (No. 38) and the conventional cell measures 4.4103, 3.4123 and 9.2882 Å, with angles of 90.00, 90.00 and 90.00 degrees. The distinct sites, in fractional coordinates, are Tm at (0.0000, 0.0000, 0.0000), Ni at (0.5000, 0.0000, 0.3281), Ge at (0.5000, 0.0000, 0.6213) and Rh at (0.0000, 0.0000, 0.7312).

As for the crystal system: orthorhombic. As for the energy relative to the lowest polymorph listed for this composition: 158 meV per atom.

---

| no. | density (g cm⁻³) |
| --- | --- |
| 1 | 3.5 |
| 2 | 9.6 |
| 3 | 2.3 |
| 4 | 6.5 |
| 5 | 6.6 |
| 6 | 9.6 |